1.
First-principles (PBE) data for InCuAsIr after structural relaxation, as listed in the Open Quantum Materials Database.

```
InCuAsIr
1.0
-2.566 -3.603 -0.983
-0.942 -3.054 3.212
-4.202 -0.312 1.667
As Cu In Ir
1 1 1 1
direct
0.500 0.500 0.500
0.750 0.750 0.750
0.000 0.000 0.000
0.250 0.250 0.250
```

Results
Energy above the most stable polymorph in this dataset (eV/atom): 0.000
Uncorrected energy (eV/atom): -4.80

=====

2.
First-principles (PBE) data for CuAs5Ir3 after structural relaxation, as listed in the Open Quantum Materials Database.

```
CuAs5Ir3
1.0
5.519 0.000 0.000
-2.759 4.779 0.000
0.000 0.000 7.061
As Cu Ir
5 1 3
direct
0.667 0.333 0.221
0.333 0.667 0.221
0.000 0.000 0.500
0.667 0.333 0.779
0.333 0.667 0.779
0.000 0.000 0.000
0.500 0.000 0.500
0.000 0.500 0.500
0.500 0.500 0.500
```

Results
Uncorrected energy (eV/atom): -5.66